A plane-wave DFT calculation with GGA-PBE was carried out for Sm2Y7Ho12 after structural relaxation.

Values from the calculation:
V in Å³/cell: 669.6
Energy in eV per atom: -5.1773
N(E_F) in states/eV/atom: 1.84
Theoretical density in g cm⁻³: 7.20

Unit cell a=14.8114 b=14.8114 c=3.5243 alpha=90.00 beta=90.00 gamma=120.00
With the nearest neighbours (Å) after each atom.
Space group P-6 (No. 174)
Symmetry-distinct sites (fractional):
Sm1 0.0000 0.0000 0.0000 x1  2 Sm 3.52, 6 Y 3.60, 6 Ho 3.91
Sm2 0.3333 0.6667 0.5000 x1  2 Sm 3.52, 6 Y 3.63, 6 Ho 3.92
Y1 0.0985 0.4814 0.0000 x3  7 Ho 3.29-3.59, 2 Y 3.52, 2 Sm 3.63
Y2 0.2316 0.1846 0.5000 x3  7 Ho 3.33-3.56, 2 Y 3.52, 2 Sm 3.60
Y3 0.6667 0.3333 0.0000 x1  9 Ho 3.34-3.57, 2 Y 3.52
Ho1 0.0522 0.2572 0.5000 x3  4 Y 3.33-3.51, 6 Ho 3.50-3.52
Ho2 0.1255 0.7158 0.0000 x3  4 Y 3.29-3.50, 6 Ho 3.50-3.68
Ho3 0.4154 0.1483 0.0000 x3  4 Y 3.34-3.50, 8 Ho 3.52-3.68
Ho4 0.4942 0.3946 0.5000 x3  8 Ho 3.52-3.68, 5 Y 3.56-3.59